A plane-wave DFT calculation with GGA-PBE was carried out for AcIn4Ag8 after structural relaxation.

Values from the calculation:
* DFT formation energy: -0.0906 eV/atom
* crystal system: tetragonal
* space-group type: I4/mmm, No. 139
* calculated total energy: -3.004 eV/atom
* volume: 21.82 Å³ per atom
* N(E_F): 5.53 states/eV/f.u.
* mass density: 9.07 g cm⁻³

a = 5.9784 Å, b = 7.5085 Å, c = 7.5085 Å
α = 80.88°, β = 66.54°, γ = 66.54°
Last column: nearest neighbours and their distance in Å.
Sites, in units of the cell vectors:
Ag: 0.3497 0.6503 0.6503  5 Ag 2.93-3.26, 4 In 3.02
Ac: 0.0000 0.0000 0.0000  12 Ag 3.41-3.66, 8 In 3.75
In: 0.0000 0.0000 0.5000  8 Ag 2.88-3.02, 2 In 2.99
Ag: 0.6503 0.3497 0.3497  5 Ag 2.93-3.26, 4 In 3.02
In: 0.0000 0.5000 0.0000  8 Ag 2.88-3.02, 2 In 2.99
Ag: 0.0000 0.6503 0.3497  5 Ag 2.93-3.26, 4 In 3.02
Ag: 0.2833 0.2167 0.2167  4 In 2.88, 4 Ag 2.99-3.12
In: 0.5000 0.0000 0.5000  8 Ag 2.88-3.02, 2 In 2.99
Ag: 0.0000 0.3497 0.6503  5 Ag 2.93-3.26, 4 In 3.02
Ag: 0.5000 0.7833 0.2167  4 In 2.88, 4 Ag 2.99-3.12
Ag: 0.5000 0.2167 0.7833  4 In 2.88, 4 Ag 2.99-3.12
In: 0.5000 0.5000 0.0000  8 Ag 2.88-3.02, 2 In 2.99
Ag: 0.7167 0.7833 0.7833  4 In 2.88, 4 Ag 2.99-3.12